Compound: LaNd2ErSb4
Source: the Alexandria database
Functional: PBE
Structure: relaxed

volume = 32.447 Å³/atom
formation energy without anion corrections = -1.1746 eV per atom
total energy = -44.9 eV/cell

a = 7.803 Å, b = 4.515 Å, c = 7.814 Å
α = 90.00°, β = 109.46°, γ = 90.00°
Fractional positions:
1 La 0.000 0.000 0.000
2 Nd 0.000 0.500 0.500
3 Nd 0.500 0.000 0.500
4 Er 0.500 0.500 0.000
5 Sb 0.257 0.500 0.249
6 Sb 0.259 0.000 0.756
7 Sb 0.741 0.000 0.244
8 Sb 0.743 0.500 0.751